Entry 1:
# HfGe2PRh, relaxed, DFT PBE-GGA
data_HfGe2PRh
_space_group_name_H-M_alt 'P 1'
_space_group_IT_number 1
_cell_length_a 5.111
_cell_length_b 5.111
_cell_length_c 4.774
_cell_angle_alpha 90.00
_cell_angle_beta 90.00
_cell_angle_gamma 90.00
loop_
_space_group_symop_operation_xyz
'x,y,z'
loop_
_atom_site_label
_atom_site_type_symbol
_atom_site_fract_x
_atom_site_fract_y
_atom_site_fract_z
_atom_site_occupancy
Hf1 Hf 0.000 0.000 0.000 1
Ge1 Ge 0.000 0.500 0.000 1
Ge2 Ge 0.500 0.000 0.000 1
P1 P 0.500 0.500 0.500 1
Rh1 Rh 0.000 0.000 0.500 1
# DFT formation energy: 5.2 eV per formula unit
# Raw total energy: -26.73 eV per cell
# Space group: P4/mmm


Entry 2:
# HfGePSe2, relaxed, DFT PBE-GGA
data_HfGePSe2
_space_group_name_H-M_alt 'P 1'
_space_group_IT_number 1
_cell_length_a 5.072
_cell_length_b 5.072
_cell_length_c 5.492
_cell_angle_alpha 90.00
_cell_angle_beta 90.00
_cell_angle_gamma 90.00
loop_
_space_group_symop_operation_xyz
'x,y,z'
loop_
_atom_site_label
_atom_site_type_symbol
_atom_site_fract_x
_atom_site_fract_y
_atom_site_fract_z
_atom_site_occupancy
Hf1 Hf 0.000 0.000 0.000 1
Ge1 Ge 0.000 0.000 0.500 1
P1 P 0.500 0.500 0.500 1
Se1 Se 0.000 0.500 0.000 1
Se2 Se 0.500 0.000 0.000 1
# Raw total energy: -24.95 eV per cell
# ΔE_f (raw): 0.400 eV/atom
# Space group: P4/mmm


Entry 3:
# HfTc2GeP, relaxed, DFT PBE-GGA
data_HfTc2GeP
_space_group_name_H-M_alt 'P 1'
_space_group_IT_number 1
_cell_length_a 4.497
_cell_length_b 4.497
_cell_length_c 4.987
_cell_angle_alpha 90.00
_cell_angle_beta 90.00
_cell_angle_gamma 90.00
loop_
_space_group_symop_operation_xyz
'x,y,z'
loop_
_atom_site_label
_atom_site_type_symbol
_atom_site_fract_x
_atom_site_fract_y
_atom_site_fract_z
_atom_site_occupancy
Hf1 Hf 0.000 0.000 0.000 1
Tc1 Tc 0.000 0.500 0.500 1
Tc2 Tc 0.500 0.000 0.500 1
Ge1 Ge 0.000 0.000 0.500 1
P1 P 0.500 0.500 0.000 1
# DFT formation energy: 5.5 eV per formula unit
# Raw total energy: -35.17 eV per cell
# Space group: P4/mmm


Entry 4:
# HfPaGe, relaxed, DFT PBE-GGA
data_HfPaGe
_space_group_name_H-M_alt 'P 1'
_space_group_IT_number 1
_cell_length_a 4.145
_cell_length_b 4.145
_cell_length_c 7.855
_cell_angle_alpha 90.00
_cell_angle_beta 90.00
_cell_angle_gamma 90.00
loop_
_space_group_symop_operation_xyz
'x,y,z'
loop_
_atom_site_label
_atom_site_type_symbol
_atom_site_fract_x
_atom_site_fract_y
_atom_site_fract_z
_atom_site_occupancy
Hf1 Hf 0.250 0.750 0.000 1
Hf2 Hf 0.750 0.250 0.000 1
Pa1 Pa 0.250 0.250 0.355 1
Pa2 Pa 0.750 0.750 0.645 1
Ge1 Ge 0.250 0.250 0.741 1
Ge2 Ge 0.750 0.750 0.259 1
# DFT formation energy: -1.1 eV per formula unit
# E above lowest polymorph: 0.000 eV per atom
# Raw total energy: -50.31 eV per cell
# Space group: P4/nmm


Entry 5:
# HfPa2Ge, relaxed, DFT PBE-GGA
data_HfPa2Ge
_space_group_name_H-M_alt 'P 1'
_space_group_IT_number 1
_cell_length_a 4.274
_cell_length_b 4.274
_cell_length_c 4.758
_cell_angle_alpha 90.00
_cell_angle_beta 90.00
_cell_angle_gamma 90.00
loop_
_space_group_symop_operation_xyz
'x,y,z'
loop_
_atom_site_label
_atom_site_type_symbol
_atom_site_fract_x
_atom_site_fract_y
_atom_site_fract_z
_atom_site_occupancy
Hf1 Hf 0.000 0.000 0.000 1
Pa1 Pa 0.000 0.500 0.500 1
Pa2 Pa 0.500 0.000 0.500 1
Ge1 Ge 0.500 0.500 0.000 1
# DFT formation energy: -1.0 eV per formula unit
# E above lowest polymorph: 0.000 eV per atom
# Raw total energy: -34.58 eV per cell
# Space group: P4/mmm


Entry 6:
# HfPa2Ge, relaxed, DFT PBE-GGA
data_HfPa2Ge
_space_group_name_H-M_alt 'P 1'
_space_group_IT_number 1
_cell_length_a 5.078
_cell_length_b 5.078
_cell_length_c 5.078
_cell_angle_alpha 60.00
_cell_angle_beta 60.00
_cell_angle_gamma 60.00
loop_
_space_group_symop_operation_xyz
'x,y,z'
loop_
_atom_site_label
_atom_site_type_symbol
_atom_site_fract_x
_atom_site_fract_y
_atom_site_fract_z
_atom_site_occupancy
Hf1 Hf 0.000 0.000 0.000 1
Pa1 Pa 0.250 0.250 0.250 1
Pa2 Pa 0.750 0.750 0.750 1
Ge1 Ge 0.500 0.500 0.500 1
# DFT formation energy: 0.4 eV per formula unit
# E above lowest polymorph: 0.367 eV per atom
# Raw total energy: -33.11 eV per cell
# Space group: Fm-3m


Entry 7:
# HfPa2Ge, relaxed, DFT PBE-GGA
data_HfPa2Ge
_space_group_name_H-M_alt 'P 1'
_space_group_IT_number 1
_cell_length_a 3.860
_cell_length_b 3.860
_cell_length_c 6.314
_cell_angle_alpha 90.00
_cell_angle_beta 90.00
_cell_angle_gamma 90.00
loop_
_space_group_symop_operation_xyz
'x,y,z'
loop_
_atom_site_label
_atom_site_type_symbol
_atom_site_fract_x
_atom_site_fract_y
_atom_site_fract_z
_atom_site_occupancy
Hf1 Hf 0.000 0.000 0.000 1
Pa1 Pa 0.500 0.500 0.285 1
Pa2 Pa 0.500 0.500 0.715 1
Ge1 Ge 0.000 0.000 0.500 1
# DFT formation energy: -0.4 eV per formula unit
# E above lowest polymorph: 0.145 eV per atom
# Raw total energy: -34.00 eV per cell
# Space group: P4/mmm


Entry 8:
# HfPa4Ge5, relaxed, DFT PBE-GGA
data_HfPa4Ge5
_space_group_name_H-M_alt 'P 1'
_space_group_IT_number 1
_cell_length_a 10.764
_cell_length_b 10.764
_cell_length_c 10.764
_cell_angle_alpha 158.10
_cell_angle_beta 148.81
_cell_angle_gamma 38.43
loop_
_space_group_symop_operation_xyz
'x,y,z'
loop_
_atom_site_label
_atom_site_type_symbol
_atom_site_fract_x
_atom_site_fract_y
_atom_site_fract_z
_atom_site_occupancy
Hf1 Hf 0.000 0.000 0.000 1
Pa1 Pa 0.196 0.196 0.000 1
Pa2 Pa 0.401 0.401 0.000 1
Pa3 Pa 0.599 0.599 0.000 1
Pa4 Pa 0.804 0.804 0.000 1
Ge1 Ge 0.093 0.593 0.500 1
Ge2 Ge 0.299 0.799 0.500 1
Ge3 Ge 0.500 0.000 0.500 1
Ge4 Ge 0.701 0.201 0.500 1
Ge5 Ge 0.907 0.407 0.500 1
# DFT formation energy: -4.5 eV per formula unit
# Raw total energy: -75.54 eV per cell
# Space group: Immm


Entry 9:
# HfPa2Ge3, relaxed, DFT PBE-GGA
data_HfPa2Ge3
_space_group_name_H-M_alt 'P 1'
_space_group_IT_number 1
_cell_length_a 7.823
_cell_length_b 7.823
_cell_length_c 5.552
_cell_angle_alpha 103.75
_cell_angle_beta 103.75
_cell_angle_gamma 119.09
loop_
_space_group_symop_operation_xyz
'x,y,z'
loop_
_atom_site_label
_atom_site_type_symbol
_atom_site_fract_x
_atom_site_fract_y
_atom_site_fract_z
_atom_site_occupancy
Hf1 Hf 0.172 0.828 0.000 1
Hf2 Hf 0.828 0.172 0.000 1
Pa1 Pa 0.000 0.000 0.500 1
Pa2 Pa 0.342 0.658 0.500 1
Pa3 Pa 0.500 0.500 0.000 1
Pa4 Pa 0.658 0.342 0.500 1
Ge1 Ge 0.076 0.421 0.771 1
Ge2 Ge 0.220 0.220 0.213 1
Ge3 Ge 0.421 0.076 0.771 1
Ge4 Ge 0.579 0.924 0.229 1
Ge5 Ge 0.780 0.780 0.787 1
Ge6 Ge 0.924 0.579 0.229 1
# DFT formation energy: -2.5 eV per formula unit
# Raw total energy: -90.59 eV per cell
# Space group: C2/m


Entry 10:
# HfPaGe, relaxed, DFT PBE-GGA
data_HfPaGe
_space_group_name_H-M_alt 'P 1'
_space_group_IT_number 1
_cell_length_a 4.833
_cell_length_b 4.833
_cell_length_c 3.290
_cell_angle_alpha 90.00
_cell_angle_beta 90.00
_cell_angle_gamma 120.00
loop_
_space_group_symop_operation_xyz
'x,y,z'
loop_
_atom_site_label
_atom_site_type_symbol
_atom_site_fract_x
_atom_site_fract_y
_atom_site_fract_z
_atom_site_occupancy
Hf1 Hf 0.000 0.000 0.000 1
Pa1 Pa 0.667 0.333 0.500 1
Ge1 Ge 0.333 0.667 0.000 1
# DFT formation energy: -0.2 eV per formula unit
# E above lowest polymorph: 0.281 eV per atom
# Raw total energy: -24.31 eV per cell
# Space group: P-6m2


Entry 11:
# Hf6GePb2, relaxed, DFT PBE-GGA
data_Hf6GePb2
_space_group_name_H-M_alt 'P 1'
_space_group_IT_number 1
_cell_length_a 5.730
_cell_length_b 7.616
_cell_length_c 10.979
_cell_angle_alpha 90.00
_cell_angle_beta 121.41
_cell_angle_gamma 90.00
loop_
_space_group_symop_operation_xyz
'x,y,z'
loop_
_atom_site_label
_atom_site_type_symbol
_atom_site_fract_x
_atom_site_fract_y
_atom_site_fract_z
_atom_site_occupancy
Hf1 Hf 0.092 0.033 0.217 1
Hf2 Hf 0.092 0.467 0.717 1
Hf3 Hf 0.158 0.706 0.044 1
Hf4 Hf 0.158 0.794 0.544 1
Hf5 Hf 0.408 0.166 0.038 1
Hf6 Hf 0.408 0.334 0.538 1
Hf7 Hf 0.592 0.666 0.462 1
Hf8 Hf 0.592 0.834 0.962 1
Hf9 Hf 0.842 0.206 0.456 1
Hf10 Hf 0.842 0.294 0.956 1
Hf11 Hf 0.908 0.533 0.283 1
Hf12 Hf 0.908 0.967 0.783 1
Ge1 Ge 0.500 0.000 0.500 1
Ge2 Ge 0.500 0.500 0.000 1
Pb1 Pb 0.346 0.105 0.740 1
Pb2 Pb 0.346 0.395 0.240 1
Pb3 Pb 0.654 0.605 0.760 1
Pb4 Pb 0.654 0.895 0.260 1
# DFT formation energy: -0.6 eV per formula unit
# Raw total energy: -144.75 eV per cell
# Space group: P2_1/c


Entry 12:
# Hf2Ge2Pb, relaxed, DFT PBE-GGA
data_Hf2Ge2Pb
_space_group_name_H-M_alt 'P 1'
_space_group_IT_number 1
_cell_length_a 7.634
_cell_length_b 7.634
_cell_length_c 3.639
_cell_angle_alpha 90.00
_cell_angle_beta 90.00
_cell_angle_gamma 90.00
loop_
_space_group_symop_operation_xyz
'x,y,z'
loop_
_atom_site_label
_atom_site_type_symbol
_atom_site_fract_x
_atom_site_fract_y
_atom_site_fract_z
_atom_site_occupancy
Hf1 Hf 0.145 0.355 0.000 1
Hf2 Hf 0.355 0.855 0.000 1
Hf3 Hf 0.645 0.145 0.000 1
Hf4 Hf 0.855 0.645 0.000 1
Ge1 Ge 0.154 0.654 0.500 1
Ge2 Ge 0.346 0.154 0.500 1
Ge3 Ge 0.654 0.846 0.500 1
Ge4 Ge 0.846 0.346 0.500 1
Pb1 Pb 0.000 0.000 0.000 1
Pb2 Pb 0.500 0.500 0.000 1
# DFT formation energy: -0.8 eV per formula unit
# E above lowest polymorph: 0.000 eV per atom
# Raw total energy: -67.37 eV per cell
# Space group: P4/mbm


Number 1: spin magnetization 0.00 μB per formula unit. Number 2: spin magnetization 2.03 μB per formula unit. Number 3: spin magnetization 0.00 μB per formula unit. Number 4: spin magnetization 0.02 μB per formula unit. Number 5: spin magnetization 0.00 μB per formula unit. Number 6: spin magnetization 0.00 μB per formula unit. Number 7: spin magnetization 0.00 μB per formula unit. Number 8: spin magnetization 0.00 μB per formula unit. Number 9: spin magnetization 0.00 μB per formula unit. Number 10: spin magnetization 0.00 μB per formula unit. Number 11: spin magnetization 0.00 μB per formula unit. Number 12: spin magnetization 0.00 μB per formula unit.